Record 1
Density functional theory data (PBE-GGA) for a relaxed structure of BPtI2.

The space group is Fm-3m (No. 225) and the conventional cell measures 7.0458, 7.0458 and 7.0458 Å, with angles of 90.00, 90.00 and 90.00 degrees. Symmetry generates all atoms from B at (0.0000, 0.0000, 0.0000), Pt at (0.0000, 0.0000, 0.5000) and I at (0.2500, 0.2500, 0.2500).

As for the energy relative to the elements, uncorrected: 1.45 eV/atom. For the total energy, the calculation gives -10.0 eV/f.u. For the magnetic moment, the calculation gives 0.00 μB per cell. For the excess energy over the best structure of this formula in the dataset, the calculation gives 0.451 eV/atom.


Record 2
Density functional theory data (PBE-GGA) for a relaxed structure of ZnGe5P4.

The space group is Pmmn (No. 59, origin choice 2) and the conventional cell measures 7.5437, 10.8022 and 5.1816 Å, with angles of 90.00, 90.00 and 90.00 degrees. Symmetry generates all atoms from Zn at (0.2500, 0.2500, 0.2108), Ge at (0.0091, 0.5610, 0.2946), Ge at (0.2500, 0.7500, 0.8384), P at (0.0119, 0.7500, 0.5244) and P at (0.2500, 0.0396, 0.9980).

The calculation puts the energy relative to the elements at 155 meV per atom. For the total energy, the calculation gives -44.4 eV/f.u. For the magnetic moment, the calculation gives 0.00 μB per cell.


Record 3
Density functional theory data (PBE-GGA) for a relaxed structure of Rb2TeRuBr6.

The space group is I4/mmm (No. 139) and the conventional cell measures 7.9666, 7.9666 and 10.9158 Å, with angles of 90.00, 90.00 and 90.00 degrees. Symmetry generates all atoms from Rb at (0.0000, 0.5000, 0.2500), Te at (0.0000, 0.0000, 0.0000), Ru at (0.0000, 0.0000, 0.5000), Br at (0.0000, 0.0000, 0.2639) and Br at (0.2280, 0.2280, 0.5000).

As for the energy relative to the elements, uncorrected: -0.69 eV/atom. For the total energy, the calculation gives -31.3 eV/f.u. For the magnetic moment, the calculation gives 2.99 μB per cell.


Record 4
Density functional theory data (PBE-GGA) for a relaxed structure of RePd.

The space group is P4/mmm (No. 123) and the conventional cell measures 2.6936, 2.6936 and 4.1112 Å, with angles of 90.00, 90.00 and 90.00 degrees. Symmetry generates all atoms from Re at (0.0000, 0.0000, 0.0000) and Pd at (0.5000, 0.5000, 0.5000).

The calculation puts the energy relative to the elements at 226 meV per atom. For the total energy, the calculation gives -17.2 eV/f.u. For the magnetic moment, the calculation gives 0.00 μB per cell. For the excess energy over the best structure of this formula in the dataset, the calculation gives 0.162 eV/atom.


Record 5
Density functional theory data (PBE-GGA) for a relaxed structure of ErMg3Pt.

The space group is P2_1/m (No. 11) and the conventional cell measures 5.4081, 5.7743 and 7.3914 Å, with angles of 90.00, 106.74 and 90.00 degrees. Symmetry generates all atoms from Er at (0.1152, 0.2500, 0.4008), Mg at (0.0202, 0.2500, 0.9016), Mg at (0.4854, 0.5014, 0.7936) and Pt at (0.3176, 0.7500, 0.4617).

The calculation puts the energy relative to the elements at -551 meV per atom. For the total energy, the calculation gives -18.1 eV/f.u. For the magnetic moment, the calculation gives 0.00 μB per cell.


Record 6
Density functional theory data (PBE-GGA) for a relaxed structure of Hf3BiSb.

The space group is Pm-3m (No. 221) and the conventional cell measures 5.2717, 5.2717 and 5.2717 Å, with angles of 90.00, 90.00 and 90.00 degrees. Symmetry generates all atoms from Hf at (0.0000, 0.0000, 0.5000), Bi at (0.5000, 0.5000, 0.5000) and Sb at (0.0000, 0.0000, 0.0000).

As for the energy relative to the elements, uncorrected: 0.85 eV/atom. For the total energy, the calculation gives -33.6 eV/f.u. For the magnetic moment, the calculation gives 0.00 μB per cell. For the excess energy over the best structure of this formula in the dataset, the calculation gives 1.028 eV/atom.


Record 7
Density functional theory data (PBE-GGA) for a relaxed structure of TiVPd4.

The space group is Pnma (No. 62) and the conventional cell measures 7.4967, 2.7648 and 17.3662 Å, with angles of 90.00, 90.00 and 90.00 degrees. Symmetry generates all atoms from Ti at (0.2481, 0.2500, 0.0612), V at (0.2462, 0.2500, 0.8118), Pd at (0.0601, 0.7500, 0.4338), Pd at (0.0693, 0.7500, 0.6978), Pd at (0.0993, 0.7500, 0.1786) and Pd at (0.1025, 0.7500, 0.9374).

The calculation puts the energy relative to the elements at -389 meV per atom. For the total energy, the calculation gives -40.1 eV/f.u. For the magnetic moment, the calculation gives 1.35 μB per cell. For the excess energy over the best structure of this formula in the dataset, the calculation gives 0.000 eV/atom.


Record 8
Density functional theory data (PBE-GGA) for a relaxed structure of LaAg2Au4.

The space group is I4/mmm (No. 139) and the conventional cell measures 7.2978, 7.2978 and 5.4485 Å, with angles of 90.00, 90.00 and 90.00 degrees. Symmetry generates all atoms from La at (0.0000, 0.0000, 0.0000), Ag at (0.0000, 0.5000, 0.2500) and Au at (0.1954, 0.1954, 0.5000).

The calculation puts the energy relative to the elements at -424 meV per atom. For the total energy, the calculation gives -26.7 eV/f.u. For the magnetic moment, the calculation gives 0.00 μB per cell.


Record 9
Density functional theory data (PBE-GGA) for a relaxed structure of Tl2SiW.

The space group is P2/m (No. 10) and the conventional cell measures 3.0358, 5.2417 and 5.2986 Å, with angles of 90.00, 99.96 and 90.00 degrees. Symmetry generates all atoms from Tl at (0.2262, 0.0000, 0.2538), Si at (0.5000, 0.5000, 0.0000) and W at (0.0000, 0.5000, 0.5000).

As for the energy relative to the elements, uncorrected: 1.05 eV/atom. For the total energy, the calculation gives -18.9 eV/f.u. For the magnetic moment, the calculation gives 0.00 μB per cell. For the excess energy over the best structure of this formula in the dataset, the calculation gives 0.590 eV/atom.


Record 10
Density functional theory data (PBE-GGA) for a relaxed structure of CaCuPCl2.

The space group is P4/mmm (No. 123) and the conventional cell measures 5.1712, 5.1712 and 5.8889 Å, with angles of 90.00, 90.00 and 90.00 degrees. Symmetry generates all atoms from Ca at (0.0000, 0.0000, 0.0000), Cu at (0.5000, 0.5000, 0.5000), P at (0.0000, 0.0000, 0.5000) and Cl at (0.0000, 0.5000, 0.0000).

As for the energy relative to the elements, uncorrected: -0.12 eV/atom. For the total energy, the calculation gives -15.8 eV/f.u. For the magnetic moment, the calculation gives 2.01 μB per cell. For the excess energy over the best structure of this formula in the dataset, the calculation gives 0.443 eV/atom.


Record 11
Density functional theory data (PBE-GGA) for a relaxed structure of TcMo3.

The space group is R-3m (No. 166, hexagonal axes) and the conventional cell measures 8.8925, 8.8925 and 2.7239 Å, with angles of 90.00, 90.00 and 120.00 degrees. Symmetry generates all atoms from Tc at (0.0000, 0.0000, 0.0000) and Mo at (0.0000, 0.5000, 0.0000).

The calculation puts the energy relative to the elements at 39 meV per atom. For the total energy, the calculation gives -42.7 eV/f.u. For the magnetic moment, the calculation gives 0.00 μB per cell. For the excess energy over the best structure of this formula in the dataset, the calculation gives 0.017 eV/atom.


Record 12
Density functional theory data (PBE-GGA) for a relaxed structure of LiPr6Ga2.

The space group is C2/m (No. 12) and the conventional cell measures 16.1944, 7.6186 and 5.0210 Å, with angles of 90.00, 107.86 and 90.00 degrees. Symmetry generates all atoms from Li at (0.0000, 0.0000, 0.0000), Pr at (0.0000, 0.2662, 0.5000), Pr at (0.1684, 0.2542, 0.1687) and Ga at (0.1673, 0.5000, 0.6676).

The calculation puts the energy relative to the elements at -14 meV per atom. For the total energy, the calculation gives -36.8 eV/f.u. For the magnetic moment, the calculation gives 0.00 μB per cell.


Record 13
Density functional theory data (PBE-GGA) for a relaxed structure of ReAs2Ru.

The space group is I-42d (No. 122) and the conventional cell measures 5.5748, 5.5748 and 10.8351 Å, with angles of 90.00, 90.00 and 90.00 degrees. Symmetry generates all atoms from Re at (0.0000, 0.0000, 0.0000), As at (0.2480, 0.2500, 0.6250) and Ru at (0.0000, 0.0000, 0.5000).

The calculation puts the energy relative to the elements at 481 meV per atom. For the total energy, the calculation gives -29.1 eV/f.u. For the magnetic moment, the calculation gives 0.00 μB per cell. For the excess energy over the best structure of this formula in the dataset, the calculation gives 0.457 eV/atom.


Record 14
Density functional theory data (PBE-GGA) for a relaxed structure of Th4Bi3H2.

The space group is C2/c (No. 15) and the conventional cell measures 14.9310, 9.6962 and 6.5752 Å, with angles of 90.00, 103.55 and 90.00 degrees. Symmetry generates all atoms from Th at (0.1012, 0.2239, 0.0357), Th at (0.2008, 0.4381, 0.6031), Bi at (0.0000, 0.4926, 0.2500), Bi at (0.1127, 0.1205, 0.5580) and H at (0.2329, 0.3533, 0.9460).

For the total energy, the calculation gives -52.0 eV/f.u. For the magnetic moment, the calculation gives 0.00 μB per cell.


Record 15
Density functional theory data (PBE-GGA) for a relaxed structure of ErGa4Cu2.

The space group is Cmmm (No. 65) and the conventional cell measures 4.1823, 13.9367 and 4.1679 Å, with angles of 90.00, 90.00 and 90.00 degrees. Symmetry generates all atoms from Er at (0.0000, 0.0000, 0.0000), Ga at (0.0000, 0.1794, 0.5000), Ga at (0.0000, 0.3183, 0.0000) and Cu at (0.0000, 0.4153, 0.5000).

The calculation puts the energy relative to the elements at -241 meV per atom. For the total energy, the calculation gives -26.5 eV/f.u. For the magnetic moment, the calculation gives 0.00 μB per cell. For the excess energy over the best structure of this formula in the dataset, the calculation gives 0.110 eV/atom.


Record 16
Density functional theory data (PBE-GGA) for a relaxed structure of Ti2AlFe2Co5.

The space group is P4/mbm (No. 127) and the conventional cell measures 8.1562, 8.1562 and 3.7333 Å, with angles of 90.00, 90.00 and 90.00 degrees. Symmetry generates all atoms from Ti at (0.1714, 0.3286, 0.0000), Al at (0.0000, 0.0000, 0.0000), Fe at (0.1305, 0.6305, 0.0000), Co at (0.0000, 0.5000, 0.5000) and Co at (0.0664, 0.7980, 0.5000).

The calculation puts the energy relative to the elements at -167 meV per atom. For the total energy, the calculation gives -73.7 eV/f.u. For the magnetic moment, the calculation gives 14.61 μB per cell.


Record 17
Density functional theory data (PBE-GGA) for a relaxed structure of Nb2HgTe4.

The space group is I4_1/amd (No. 141, origin choice 2) and the conventional cell measures 8.2938, 8.2938 and 12.5803 Å, with angles of 90.00, 90.00 and 90.00 degrees. Symmetry generates all atoms from Nb at (0.0000, 0.0000, 0.0000), Hg at (0.0000, 0.2500, 0.3750) and Te at (0.0000, 0.0126, 0.7720).

As for the energy relative to the elements, uncorrected: -0.11 eV/atom. For the total energy, the calculation gives -33.8 eV/f.u. For the magnetic moment, the calculation gives 13.92 μB per cell.


Record 18
Density functional theory data (PBE-GGA) for a relaxed structure of LaYMn2.

The space group is Fm-3m (No. 225) and the conventional cell measures 7.2537, 7.2537 and 7.2537 Å, with angles of 90.00, 90.00 and 90.00 degrees. Symmetry generates all atoms from La at (0.0000, 0.0000, 0.0000), Y at (0.0000, 0.0000, 0.5000) and Mn at (0.2500, 0.2500, 0.2500).

The calculation puts the energy relative to the elements at 246 meV per atom. For the total energy, the calculation gives -28.7 eV/f.u. For the magnetic moment, the calculation gives 25.33 μB per cell. For the excess energy over the best structure of this formula in the dataset, the calculation gives 0.138 eV/atom.


Record 19
Density functional theory data (PBE-GGA) for a relaxed structure of Pm3Sb2AsRh9.

The space group is P-3m1 (No. 164) and the conventional cell measures 6.7732, 6.7732 and 8.3499 Å, with angles of 90.00, 90.00 and 120.00 degrees. Symmetry generates all atoms from Pm at (0.0000, 0.0000, 0.0000), Pm at (0.3333, 0.6667, 0.7322), Sb at (0.3333, 0.6667, 0.2086), As at (0.0000, 0.0000, 0.5000), Rh at (0.0000, 0.5000, 0.0000) and Rh at (0.1323, 0.2646, 0.2795).

As for the energy relative to the elements, uncorrected: -0.30 eV/atom. For the total energy, the calculation gives -97.8 eV/f.u. For the magnetic moment, the calculation gives 0.00 μB per cell.


Record 20
Density functional theory data (PBE-GGA) for a relaxed structure of LiPPtS2.

The space group is P4/mmm (No. 123) and the conventional cell measures 4.3303, 4.3303 and 4.2325 Å, with angles of 90.00, 90.00 and 90.00 degrees. Symmetry generates all atoms from Li at (0.0000, 0.0000, 0.0000), P at (0.0000, 0.0000, 0.5000), Pt at (0.5000, 0.5000, 0.5000) and S at (0.0000, 0.5000, 0.0000).

As for the energy relative to the elements, uncorrected: 0.82 eV/atom. For the total energy, the calculation gives -17.5 eV/f.u. For the magnetic moment, the calculation gives 0.00 μB per cell. For the excess energy over the best structure of this formula in the dataset, the calculation gives 0.579 eV/atom.


Record 21
Density functional theory data (PBE-GGA) for a relaxed structure of Ba2NaCu2.

The space group is I4/mmm (No. 139) and the conventional cell measures 3.7619, 3.7619 and 23.4099 Å, with angles of 90.00, 90.00 and 90.00 degrees. Symmetry generates all atoms from Ba at (0.0000, 0.0000, 0.1369), Na at (0.0000, 0.0000, 0.5000) and Cu at (0.0000, 0.5000, 0.2500).

The calculation puts the energy relative to the elements at 190 meV per atom. For the total energy, the calculation gives -12.4 eV/f.u. For the magnetic moment, the calculation gives 0.00 μB per cell. For the excess energy over the best structure of this formula in the dataset, the calculation gives 0.222 eV/atom.


Record 22
Density functional theory data (PBE-GGA) for a relaxed structure of Rb3ErCl6.

The space group is P2_1/c (No. 14) and the conventional cell measures 7.7779, 8.1910 and 13.5050 Å, with angles of 90.00, 124.61 and 90.00 degrees. Symmetry generates all atoms from Rb at (0.0000, 0.0000, 0.0000), Rb at (0.2204, 0.0668, 0.7450), Er at (0.5000, 0.0000, 0.5000), Cl at (0.1769, 0.1768, 0.4483), Cl at (0.2640, 0.7350, 0.4296) and Cl at (0.3966, 0.0490, 0.2798).

As for the energy relative to the elements, uncorrected: -2.14 eV/atom. For the total energy, the calculation gives -40.0 eV/f.u. For the magnetic moment, the calculation gives 0.00 μB per cell.


Record 23
Density functional theory data (PBE-GGA) for a relaxed structure of ZnHg2Ru.

The space group is R-3m (No. 166, hexagonal axes) and the conventional cell measures 3.0422, 3.0422 and 27.5994 Å, with angles of 90.00, 90.00 and 120.00 degrees. Symmetry generates all atoms from Zn at (0.0000, 0.0000, 0.0000), Hg at (0.0000, 0.0000, 0.2496) and Ru at (0.0000, 0.0000, 0.5000).

The calculation puts the energy relative to the elements at 467 meV per atom. For the total energy, the calculation gives -9.3 eV/f.u. For the magnetic moment, the calculation gives 3.21 μB per cell.